(1)
A plane-wave DFT calculation with PBE was carried out for a relaxed structure of Bi4Ru.

Computed properties:
**V**: 26.9 A^3/atom
**Offset from the most stable computed form**: 0.0 meV/atom
**Formation energy from the elements**: 0.20 eV/atom

Structure (POSCAR):
```
Bi4Ru
1.0
6.3044 0.0000 0.0000
0.0000 6.3044 0.0000
0.0000 0.0000 6.7638
Bi Ru
8 2
direct
0.1540 0.2538 0.3507 Bi
0.2462 0.3460 0.8507 Bi
0.2538 0.8460 0.6493 Bi
0.3460 0.7538 0.1493 Bi
0.6540 0.2462 0.1493 Bi
0.7462 0.1540 0.6493 Bi
0.7538 0.6540 0.8507 Bi
0.8460 0.7462 0.3507 Bi
0.0000 0.0000 0.0000 Ru
0.5000 0.5000 0.5000 Ru
```

(2)
A plane-wave DFT calculation with PBE was carried out for a relaxed structure of Cd2TePbO6.

Computed properties:
**V**: 14.9 A^3/atom
**Uncorrected formation energy**: -1.099 eV/atom

Structure (POSCAR):
```
Cd2TePbO6
1.0
2.8847 1.6655 5.1672
-2.8847 1.6655 5.1672
0.0000 -3.3309 5.1672
Cd Te Pb O
2 1 1 6
direct
0.0000 0.0000 0.0000 Cd
0.4811 0.4811 0.4811 Cd
0.7883 0.7883 0.7883 Te
0.2656 0.2656 0.2656 Pb
0.0199 0.4401 0.7068 O
0.1424 0.8590 0.6075 O
0.4401 0.7068 0.0199 O
0.6075 0.1424 0.8590 O
0.7068 0.0199 0.4401 O
0.8590 0.6075 0.1424 O
```

(3)
A plane-wave DFT calculation with PBE was carried out for a relaxed structure of CeZr2U3As6.

Computed properties:
**V**: 23.1 A^3/atom
**Formation energy from the elements**: -0.99 eV/atom

Structure (POSCAR):
```
CeZr2U3As6
1.0
3.4568 -6.0011 0.0000
3.4568 6.0011 0.0000
-2.3193 0.0000 6.6863
Ce Zr U As
1 2 3 6
direct
0.0000 0.0000 0.0000 Ce
0.3318 0.6682 0.0000 Zr
0.6682 0.3318 0.0000 Zr
0.1621 0.8379 0.5000 U
0.5000 0.5000 0.5000 U
0.8379 0.1621 0.5000 U
0.0821 0.4255 0.2454 As
0.2645 0.2645 0.7608 As
0.4255 0.0821 0.2454 As
0.5745 0.9179 0.7546 As
0.7355 0.7355 0.2392 As
0.9179 0.5745 0.7546 As
```

(4)
A plane-wave DFT calculation with PBE was carried out for a relaxed structure of LaDyGa2Rh2.

Computed properties:
**V**: 21.0 A^3/atom
**Formation energy from the elements**: -0.81 eV/atom

Structure (POSCAR):
```
LaDyGa2Rh2
1.0
4.4199 0.0000 0.0000
-2.2099 3.8277 0.0000
0.0000 0.0000 7.4397
La Dy Ga Rh
1 1 2 2
direct
0.0000 0.0000 0.0000 La
0.0000 0.0000 0.5000 Dy
0.3333 0.6667 0.2758 Ga
0.6667 0.3333 0.7242 Ga
0.3333 0.6667 0.7148 Rh
0.6667 0.3333 0.2852 Rh
```

(5)
A plane-wave DFT calculation with PBE was carried out for a relaxed structure of AcLa2ScTe4.

Computed properties:
**V**: 33.0 A^3/atom
**Uncorrected formation energy**: -1.395 eV/atom

Structure (POSCAR):
```
AcLa2ScTe4
1.0
7.8450 0.0000 0.0000
0.0000 4.4872 0.0000
-2.5635 0.0000 7.4958
Ac La Sc Te
1 2 1 4
direct
0.0000 0.0000 0.0000 Ac
0.5000 0.0000 0.5000 La
0.5000 0.5000 0.0000 La
0.0000 0.5000 0.5000 Sc
0.2319 0.0000 0.7257 Te
0.2453 0.5000 0.2679 Te
0.7547 0.5000 0.7321 Te
0.7681 0.0000 0.2743 Te
```

(6)
A plane-wave DFT calculation with PBE was carried out for a relaxed structure of AcSmCu.

Computed properties:
**V**: 32.1 A^3/atom
**Offset from the most stable computed form**: 201.5 meV/atom
**Formation energy from the elements**: 0.15 eV/atom

Structure (POSCAR):
```
AcSmCu
1.0
0.0000 3.6366 3.6366
3.6366 0.0000 3.6366
3.6366 3.6366 0.0000
Ac Sm Cu
1 1 1
direct
0.0000 0.0000 0.0000 Ac
0.5000 0.5000 0.5000 Sm
0.7500 0.7500 0.7500 Cu
```

(7)
A plane-wave DFT calculation with PBE was carried out for a relaxed structure of GdPS.

Computed properties:
**V**: 20.6 A^3/atom
**Uncorrected formation energy**: -1.574 eV/atom

Structure (POSCAR):
```
GdPS
1.0
5.4382 0.0000 0.0000
0.0000 5.3941 0.0000
0.0000 0.0000 16.8310
Gd P S
8 8 8
direct
0.0145 0.2500 0.1471 Gd
0.0156 0.7500 0.3617 Gd
0.4844 0.2500 0.8617 Gd
0.4855 0.7500 0.6471 Gd
0.5145 0.2500 0.3529 Gd
0.5156 0.7500 0.1383 Gd
0.9844 0.2500 0.6383 Gd
0.9855 0.7500 0.8529 Gd
0.2028 0.5399 0.9971 P
0.2028 0.9601 0.9971 P
0.2972 0.0399 0.4971 P
0.2972 0.4601 0.4971 P
0.7028 0.5399 0.5029 P
0.7028 0.9601 0.5029 P
0.7972 0.0399 0.0029 P
0.7972 0.4601 0.0029 P
0.0111 0.2500 0.3172 S
0.0146 0.7500 0.1886 S
0.4854 0.2500 0.6886 S
0.4889 0.7500 0.8172 S
0.5111 0.2500 0.1828 S
0.5146 0.7500 0.3114 S
0.9854 0.2500 0.8114 S
0.9889 0.7500 0.6828 S
```

(8)
A plane-wave DFT calculation with PBE was carried out for a relaxed structure of LaPmYH.

Computed properties:
**V**: 26.1 A^3/atom
**Raw total energy**: -4.7341 eV per atom

Structure (POSCAR):
```
LaPmYH
1.0
4.5351 0.0000 0.0000
0.0000 4.5351 0.0000
0.0000 0.0000 10.1438
La Pm Y H
2 2 2 2
direct
0.2500 0.7500 0.0000 La
0.7500 0.2500 0.0000 La
0.2500 0.2500 0.2537 Pm
0.7500 0.7500 0.7463 Pm
0.2500 0.2500 0.5842 Y
0.7500 0.7500 0.4158 Y
0.2500 0.7500 0.5000 H
0.7500 0.2500 0.5000 H
```